1.
! AsOs2Au (GGA-PBE, relaxed); values from VASP
! DFT formation energy in meV/atom: 312
! Crystal system: monoclinic
! Density in g cm⁻³: 16.23
! DOS(E_F) in states/eV per atom: 0.684
&SYSTEM
  ibrav = 0, nat = 4, ntyp = 3
/
ATOMIC_SPECIES
Au 196.97 Au.upf
Os 190.23 Os.upf
As 74.92 As.upf
ATOMIC_POSITIONS angstrom
Au 1.4220 5.3588 6.9380
Os 1.4220 1.4128 2.0840
Os 0.0000 0.1575 0.2690
As 0.0000 2.6696 4.0632
CELL_PARAMETERS angstrom
2.8440 0.0000 0.0000
0.0000 2.8291 0.2694
0.0000 3.5700 8.6334

---

2.
! TcNiB (GGA-PBE, relaxed); values from VASP
! DFT formation energy in meV/atom: -74
! Crystal system: monoclinic
! E above lowest polymorph in meV/atom: 224
! Density in g cm⁻³: 8.53
! DOS(E_F) in states/eV per atom: 0.789
&SYSTEM
  ibrav = 0, nat = 6, ntyp = 3
/
ATOMIC_SPECIES
B 10.81 B.upf
Ni 58.69 Ni.upf
Tc 98.00 Tc.upf
ATOMIC_POSITIONS angstrom
B 0.9309 -2.3006 -1.0502
Ni 0.1133 -3.8148 0.1439
Tc 2.7518 -3.3264 -0.2027
B 4.0277 -1.7194 0.4697
Ni 4.8454 -0.2051 -0.7244
Tc 2.2068 -0.6935 -0.3778
CELL_PARAMETERS angstrom
-0.3834 -3.2630 2.5956
0.0383 -1.8843 -2.3632
5.3038 1.1274 -0.8129

---

Q: Which of these has the lowest DFT formation energy?
A: TcNiB